Mg3NbF: relaxed, PBE.

a b c (Å): 4.451 4.451 4.451
angles (deg): 90.00 90.00 90.00
Space group Pm-3m (No. 221)
Unique sites:
Mg 0.000 0.000 0.500 [3 per cell]
Nb 0.500 0.500 0.500 [1 per cell]
F 0.000 0.000 0.000 [1 per cell]

E_tot: -3.87 eV per atom
Crystal system: cubic
Total magnetic moment: 0.400 μB per atom

MgNbF: relaxed, PBE.

a b c (Å): 5.757 12.052 2.991
angles (deg): 90.00 111.69 90.00
Space group C2 (No. 5)
Unique sites:
Mg 0.000 0.000 0.000 [2 per cell]
Mg 0.000 0.433 0.000 [2 per cell]
Nb 0.206 0.760 0.317 [4 per cell]
F 0.236 0.068 0.687 [4 per cell]

E_tot: -5.63 eV per atom
Crystal system: monoclinic
Total magnetic moment: 0.000 μB per atom

MgNbF: relaxed, PBE.

a b c (Å): 3.557 3.557 7.517
angles (deg): 90.00 90.00 90.00
Space group P4/nmm (No. 129, origin choice 2)
Unique sites:
Mg 0.250 0.250 0.158 [2 per cell]
Nb 0.250 0.250 0.564 [2 per cell]
F 0.250 0.750 0.000 [2 per cell]

E_tot: -5.89 eV per atom
Crystal system: tetragonal
Total magnetic moment: 0.000 μB per atom